Record 1
# AcTbGdTh (PBE, relaxed)
# E_tot ... -118.480 eV for the cell shown
# Formation energy from the elements ... 0.15 eV per atom
data_AcTbGdTh
_cell_length_a 8.239
_cell_length_b 8.239
_cell_length_c 8.239
_cell_angle_alpha 90.00
_cell_angle_beta 90.00
_cell_angle_gamma 90.00
_symmetry_space_group_name_H-M 'F -4 3 m'
_symmetry_Int_Tables_number 216
_symmetry_space_group_name_Hall 'F -4 2 3'
loop_
_atom_site_label
_atom_site_type_symbol
_atom_site_fract_x
_atom_site_fract_y
_atom_site_fract_z
_atom_site_occupancy
Ac1 Ac 0.000 0.000 0.000 1
Tb1 Tb 0.250 0.250 0.750 1
Gd1 Gd 0.250 0.250 0.250 1
Th1 Th 0.000 0.000 0.500 1


Record 2
# AcTbGdTl (PBE, relaxed)
# E_tot ... -100.506 eV for the cell shown
# Formation energy from the elements ... 0.01 eV per atom
data_AcTbGdTl
_cell_length_a 7.997
_cell_length_b 7.997
_cell_length_c 7.997
_cell_angle_alpha 90.00
_cell_angle_beta 90.00
_cell_angle_gamma 90.00
_symmetry_space_group_name_H-M 'F -4 3 m'
_symmetry_Int_Tables_number 216
_symmetry_space_group_name_Hall 'F -4 2 3'
loop_
_atom_site_label
_atom_site_type_symbol
_atom_site_fract_x
_atom_site_fract_y
_atom_site_fract_z
_atom_site_occupancy
Ac1 Ac 0.000 0.000 0.000 1
Tb1 Tb 0.250 0.250 0.750 1
Gd1 Gd 0.250 0.250 0.250 1
Tl1 Tl 0.000 0.000 0.500 1


Record 3
# AcTbGdZn (PBE, relaxed)
# E_tot ... -93.799 eV for the cell shown
# Formation energy from the elements ... 0.16 eV per atom
data_AcTbGdZn
_cell_length_a 7.857
_cell_length_b 7.857
_cell_length_c 7.857
_cell_angle_alpha 90.00
_cell_angle_beta 90.00
_cell_angle_gamma 90.00
_symmetry_space_group_name_H-M 'F -4 3 m'
_symmetry_Int_Tables_number 216
_symmetry_space_group_name_Hall 'F -4 2 3'
loop_
_atom_site_label
_atom_site_type_symbol
_atom_site_fract_x
_atom_site_fract_y
_atom_site_fract_z
_atom_site_occupancy
Ac1 Ac 0.000 0.000 0.000 1
Tb1 Tb 0.250 0.250 0.250 1
Gd1 Gd 0.250 0.250 0.750 1
Zn1 Zn 0.000 0.000 0.500 1


Record 4
# AcGd2Tc (PBE, relaxed)
# E_tot ... -42.345 eV for the cell shown
# Excess energy over the best structure of this formula in the dataset ... 0.0 meV per atom
# Formation energy from the elements ... 0.07 eV per atom
data_AcGd2Tc
_cell_length_a 3.545
_cell_length_b 3.545
_cell_length_c 9.462
_cell_angle_alpha 90.00
_cell_angle_beta 90.00
_cell_angle_gamma 90.00
_symmetry_space_group_name_H-M 'P 4/m m m'
_symmetry_Int_Tables_number 123
_symmetry_space_group_name_Hall '-P 4 2'
loop_
_atom_site_label
_atom_site_type_symbol
_atom_site_fract_x
_atom_site_fract_y
_atom_site_fract_z
_atom_site_occupancy
Ac1 Ac 0.000 0.000 0.000 1
Gd1 Gd 0.500 0.500 0.326 1
Tc1 Tc 0.000 0.000 0.500 1


Record 5
# AcGd2Tc (PBE, relaxed)
# E_tot ... -124.387 eV for the cell shown
# Excess energy over the best structure of this formula in the dataset ... 220.8 meV per atom
# Formation energy from the elements ... 0.29 eV per atom
data_AcGd2Tc
_cell_length_a 3.5817
_cell_length_b 3.5817
_cell_length_c 33.5342
_cell_angle_alpha 90.00
_cell_angle_beta 90.00
_cell_angle_gamma 120.00
_symmetry_space_group_name_H-M 'R -3 m'
_symmetry_Int_Tables_number 166
_symmetry_space_group_name_Hall '-R 3 2"'
loop_
_atom_site_label
_atom_site_type_symbol
_atom_site_fract_x
_atom_site_fract_y
_atom_site_fract_z
_atom_site_occupancy
Ac1 Ac 0.0000 0.0000 0.0000 1
Gd1 Gd 0.0000 0.0000 0.1079 1
Tc1 Tc 0.0000 0.0000 0.5000 1


Record 6
# AcGdTc4 (PBE, relaxed)
# E_tot ... -234.954 eV for the cell shown
# Formation energy from the elements ... 0.15 eV per atom
data_AcGdTc4
_cell_length_a 7.816
_cell_length_b 7.816
_cell_length_c 7.816
_cell_angle_alpha 90.00
_cell_angle_beta 90.00
_cell_angle_gamma 90.00
_symmetry_space_group_name_H-M 'F -4 3 m'
_symmetry_Int_Tables_number 216
_symmetry_space_group_name_Hall 'F -4 2 3'
loop_
_atom_site_label
_atom_site_type_symbol
_atom_site_fract_x
_atom_site_fract_y
_atom_site_fract_z
_atom_site_occupancy
Ac1 Ac 0.000 0.000 0.000 1
Gd1 Gd 0.250 0.250 0.750 1
Tc1 Tc 0.125 0.125 0.375 1


Looking at total magnetization for the records above, in order, we have 29.3 34.3 32.3 14.2 43.9 21.5 Bohr magnetons per cell.
Looking at V for the records above, in order, we have 34.96 31.97 30.32 29.73 31.05 19.90 A^3/atom.